No. 1
The following is a DFT calculation (PBE) of an optimized crystal structure of Mg7InPb2.

Cell lengths 11.4044, 11.4044, 11.4044 Å; angles 155.32, 155.32, 35.18 degrees
Closest atoms and distances in Å follow each position.
Fractional positions:
Mg1 0.0000 0.0000 0.0000  8 Mg 3.10, 4 In 3.45
Mg2 0.0880 0.5880 0.5000  2 Pb 3.01, 2 Mg 3.10, 2 In 3.10
Mg3 0.2500 0.7500 0.5000  4 Pb 3.00
Mg4 0.4120 0.9120 0.5000  2 Pb 3.01, 2 In 3.10, 2 Mg 3.10
Mg5 0.5880 0.0880 0.5000  2 Pb 3.01, 2 Mg 3.10, 2 In 3.10
Mg6 0.7500 0.2500 0.5000  4 Pb 3.00
Mg7 0.9120 0.4120 0.5000  2 Pb 3.01, 2 In 3.10, 2 Mg 3.10
In1 0.5000 0.5000 0.0000  12 Mg 3.10-3.45
Pb1 0.1695 0.1695 0.0000  8 Mg 3.00-3.01
Pb2 0.8305 0.8305 0.0000  8 Mg 3.00-3.01

Values from the calculation:
- energy relative to the lowest polymorph listed for this composition (eV/atom) = 0.000
- DFT total energy (eV/atom) = -2.16

***

No. 2
The following is a DFT calculation (PBE) of an optimized crystal structure of InGa2NiOs.

Cell lengths 4.6556, 4.6556, 5.0523 Å; angles 90.00, 90.00, 90.00 degrees
Closest atoms and distances in Å follow each position.
Fractional positions:
In1 0.0000 0.0000 0.0000  2 Os 2.53
Ga1 0.0000 0.5000 0.5000  2 Os 2.33
Ga2 0.5000 0.0000 0.5000  2 Os 2.33
Ni1 0.5000 0.5000 0.0000  4 In 3.29, 8 Ga 3.44
Os1 0.0000 0.0000 0.5000  4 Ga 2.33, 2 In 2.53

Values from the calculation:
- DFT total energy (eV/atom) = -4.49

***

In the order shown, the computed formation enthalpy at 0 K values come out to -0.03, 0.67 eV/atom.
In the order shown, the computed density of states at the Fermi level values come out to 3.594, 6.169 states/eV/cell.